Record 1
Material: ScNi2Hg
Method: DFT, PBE-GGA
State: relaxed

Cell and atoms, written as POSCAR:
```
ScNi2Hg
1.0
-2.790 -0.558 1.582
0.778 -3.240 0.230
3.441 -2.244 5.277
Hg Ni Sc
1 2 1
direct
0.500 0.750 0.750
0.000 0.991 0.009
0.000 0.509 0.491
0.500 0.250 0.250
```

- Magnetic moment: 0.00 μB/cell
- Energy of formation: -0.239 eV per atom

Record 2
Material: Ge3IrCl
Method: DFT, PBE-GGA
State: relaxed

Cell and atoms, written as POSCAR:
```
Ge3IrCl
1.0
-0.961 2.567 -3.889
-4.645 -0.221 1.002
0.360 4.000 2.551
Ge Ir Cl
3 1 1
direct
0.000 0.500 0.000
0.000 0.000 0.500
0.500 0.000 0.000
0.500 0.500 0.500
0.000 0.000 0.000
```

- Magnetic moment: 0.00 μB/cell
- E above lowest polymorph: 1151 meV per atom
- Uncorrected formation energy: 1240 meV/atom

Record 3
Material: AgHgMo2
Method: DFT, PBE-GGA
State: relaxed

Cell and atoms, written as POSCAR:
```
AgHgMo2
1.0
4.568 0.000 0.000
0.000 2.767 0.084
0.000 2.598 5.557
Ag Hg Mo
1 1 2
direct
0.500 0.250 0.250
0.500 0.750 0.750
0.000 0.983 0.017
0.000 0.517 0.483
```

- Magnetic moment: 0.00 μB/cell
- Energy of formation: 0.544 eV per atom